A plane-wave DFT calculation with PBE was carried out for an optimized crystal structure of LaYAlSn.

Cell lengths 5.3749, 5.3749, 5.3749 Å; angles 60.00, 60.00, 60.00 degrees
With the nearest neighbours (Å) after each atom.
Sites, in units of the cell vectors:
Y 0.7500 0.7500 0.7500  4 Sn 3.29, 4 Al 3.29
Al 0.5000 0.5000 0.5000  4 Y 3.29, 4 La 3.29
Sn 0.0000 0.0000 0.0000  4 La 3.29, 4 Y 3.29
La 0.2500 0.2500 0.2500  4 Sn 3.29, 4 Al 3.29

Computed properties:
DOS(E_F)   3.3 states/eV per cell
Crystal system   cubic
ΔH_f (0 K)   -0.479 eV/atom
Space group   F-43m, No. 216
V   27.45 Å³/atom